# EuIn2S PBE optimized geometry
# **Electronic total energy**: -5.169 eV per atom
# **Formation energy without anion corrections**: -199.1 meV per atom
data_EuIn2S
_chemical_formula_sum 'Eu3 In6 S3'
_cell_length_a 3.7423
_cell_length_b 3.7423
_cell_length_c 30.6093
_cell_angle_alpha 90.00
_cell_angle_beta 90.00
_cell_angle_gamma 120.00
_space_group_name_H-M_alt 'R -3 m'
_space_group_IT_number 166
_space_group_name_Hall '-R 3 2"'
loop_
_atom_site_label
_atom_site_type_symbol
_atom_site_fract_x
_atom_site_fract_y
_atom_site_fract_z
Eu1 Eu 0.0000 0.0000 0.0000
In1 In 0.0000 0.0000 0.1079
S1 S 0.0000 0.0000 0.5000